A plane-wave DFT calculation with PBE-GGA was carried out for a relaxed structure of BeCr2Re.

Cell and atoms, written as POSCAR:
```
BeCr2Re
1.0
2.433 -4.126 0.000
2.433 4.126 0.000
-0.862 0.000 2.390
Be Cr Re
1 2 1
Direct
0.000 0.000 0.000
0.000 0.500 0.500
0.500 0.000 0.500
0.500 0.500 0.000
```

Values from the calculation:
**Calculated formation energy**: 0.09 eV/atom
**Final energy**: -8.76 eV per atom